Entry 1:
Mg2Si3 PBE optimized geometry; uncorrected energy = -3.782 eV/atom; space group = P1; raw formation energy = 0.110 eV per atom; offset from the most stable computed form = 80.6 meV per atom
1.0
3.755 -0.003 0.014
-0.814 5.845 0.001
-0.812 -1.271 17.381
Mg Si
8 12
Cartesian
0.147 5.067 3.732
2.328 -0.312 13.809
1.105 0.825 1.083
1.542 3.743 16.453
1.582 2.659 12.671
0.944 2.513 4.964
2.819 2.625 9.616
0.897 0.995 7.586
0.087 3.727 1.017
2.348 0.829 16.652
1.976 3.301 2.498
0.462 1.317 15.178
-1.020 4.789 11.269
2.819 0.585 5.539
2.806 -0.215 9.153
0.924 3.918 7.752
1.604 0.451 11.148
-0.943 4.238 6.225
2.860 1.127 3.186
-0.238 3.525 14.444

***

Entry 2:
Dy4Zn3Ir PBE optimized geometry; uncorrected energy = -4.371 eV/atom; space group = P4/mmm; ΔE_f = -3.88 eV per formula unit
1.0
-3.265 1.347 0.309
0.064 -0.645 3.485
5.477 12.758 2.260
Zn Ir Dy
3 1 4
Cartesian
-0.240 3.519 2.458
1.138 6.730 3.027
2.517 9.941 3.596
-1.601 0.351 1.897
4.852 11.301 2.002
0.626 1.458 0.258
2.042 4.755 0.842
3.436 8.003 1.418

***

Entry 3:
Al2SiHg PBE optimized geometry; uncorrected energy = -3.046 eV/atom; space group = Pmm2; raw formation energy = 0.257 eV per atom; offset from the most stable computed form = 82.9 meV per atom
1.0
3.070 0.000 0.000
0.000 3.929 0.000
0.000 0.000 6.215
Si Hg Al
1 1 2
Cartesian
1.535 1.964 5.082
0.000 0.000 2.962
0.000 0.000 6.012
1.535 1.964 1.482

***

Entry 4:
Ac5Tl2 PBE optimized geometry; uncorrected energy = -3.758 eV/atom; space group = Cmcm; offset from the most stable computed form = 15.0 meV per atom; ΔE_f = -1.03 eV per formula unit
1.0
-1.227 4.882 -1.113
-2.982 0.216 4.237
17.177 4.299 11.869
Ac Tl
10 4
Cartesian
14.093 8.782 11.057
-1.125 0.615 3.937
-0.005 3.046 1.428
12.973 6.351 13.566
6.741 5.791 6.036
6.227 3.606 8.958
4.995 2.390 4.980
7.973 7.007 10.014
12.082 5.273 9.821
0.886 4.123 5.173
2.393 1.331 3.203
10.576 8.066 11.791
9.455 4.205 8.027
3.513 5.192 6.967

***

Entry 5:
ScTi5 PBE optimized geometry; uncorrected energy = -7.523 eV/atom; space group = Cmmm; ΔE_f = 0.67 eV per formula unit
1.0
-2.207 2.033 2.878
-3.474 -1.958 -1.281
2.832 -3.658 4.757
Sc Ti
1 5
Cartesian
0.000 0.000 0.000
-2.120 -3.014 3.508
-1.360 -2.575 0.776
-2.840 0.038 0.798
0.718 -3.041 2.700
-0.729 -0.568 2.846